Material: Dy2YPd
Method: DFT, PBE
State: relaxed

The space group is Pnma (No. 62) and the conventional cell measures 7.0465, 9.7060 and 6.4529 Å, with angles of 90.00, 90.00 and 90.00 degrees. Symmetry generates all atoms from Dy at (0.1813, 0.0596, 0.1746), Y at (0.0225, 0.2500, 0.6322) and Pd at (0.1102, 0.7500, 0.9376).

The calculation puts the distance to the lowest polymorph of the same formula at 0.0 meV/atom. The calculated formation energy comes out at -0.475 eV per atom. The calculation puts the total moment at 0.0 μB per formula unit.

***

Material: Y2InW
Method: DFT, PBE
State: relaxed

The space group is P4mm (No. 99) and the conventional cell measures 3.2077, 3.2077 and 9.5202 Å, with angles of 90.00, 90.00 and 90.00 degrees. Symmetry generates all atoms from Y at (0.0000, 0.0000, 0.0000), Y at (0.5000, 0.5000, 0.3259), In at (0.0000, 0.0000, 0.5727) and W at (0.5000, 0.5000, 0.7737).

The calculated formation energy comes out at 0.354 eV per atom. The calculation puts the total moment at 0.3 μB per formula unit.